Density functional theory data (GGA-PBE) for ThZrCuAg after structural relaxation.

a b c (Å): 7.076 7.076 7.076
angles (deg): 90.00 90.00 90.00
Space group F-43m (No. 216)
Inequivalent atoms, fractional coordinates:
Th  0.000  0.000  0.000 x4
Zr  0.000  0.000  0.500 x4
Cu  0.250  0.250  0.750 x4
Ag  0.250  0.250  0.250 x4

Calculated values
As for the energy of formation: 0.0473 eV/atom.

Density functional theory data (GGA-PBE) for Ge2Sb2Au3 after structural relaxation.

a b c (Å): 4.101 6.421 6.534
angles (deg): 80.75 72.43 72.83
Space group P-1 (No. 2)
Inequivalent atoms, fractional coordinates:
Ge  0.107  0.214  0.091 x2
Sb  0.226  0.671  0.403 x2
Au  0.367  0.018  0.726 x2
Au  0.500  0.500  0.000 x1

Calculated values
Its uncorrected formation energy is 21 meV per atom. As for the energy above the lowest structure with this stoichiometry: 20 meV/atom.

Density functional theory data (GGA-PBE) for HoScZnAu after structural relaxation.

a b c (Å): 6.963 6.963 6.963
angles (deg): 90.00 90.00 90.00
Space group F-43m (No. 216)
Inequivalent atoms, fractional coordinates:
Ho  0.000  0.000  0.000 x4
Sc  0.000  0.000  0.500 x4
Zn  0.250  0.250  0.250 x4
Au  0.250  0.250  0.750 x4

Calculated values
As for the energy of formation: -0.5789 eV/atom.